Record 1
# Sc2SnRhO

An optimized crystal structure of Sc2SnRhO (GGA-PBE, the Alexandria database).

Computed properties:
**Energy relative to the elements, uncorrected**: -0.53 eV/atom

Cell: 5.2220 5.2220 3.7792 Å, 90.00 90.00 90.00°
Closest atoms and distances in Å follow each position.
Fractional positions:
Sc 0.0000 0.5000 0.0000  2 Rh 2.61
Sc 0.5000 0.0000 0.0000  2 Rh 2.61
Sn 0.0000 0.0000 0.5000  8 Sc 3.22
Rh 0.5000 0.5000 0.0000  2 O 1.89
O 0.5000 0.5000 0.5000  2 Rh 1.89

=====

Record 2
# Sr2ScRhO5

An optimized crystal structure of Sr2ScRhO5 (GGA-PBE, the Alexandria database).

Computed properties:
**Energy relative to the elements, uncorrected**: -2.39 eV/atom

Cell: 6.9318 6.9318 10.8375 Å, 90.00 90.00 151.16°
Closest atoms and distances in Å follow each position.
Fractional positions:
Sr 0.1026 0.8974 0.5000  6 O 2.39-2.60
Sr 0.1403 0.8597 0.1243  5 O 2.49-2.61
Sr 0.8597 0.1403 0.6243  5 O 2.49-2.61
Sr 0.8974 0.1026 0.0000  6 O 2.39-2.60
Sc 0.4590 0.5410 0.2887  5 O 1.96-2.19
Sc 0.5410 0.4590 0.7887  5 O 1.96-2.19
Rh 0.2203 0.7797 0.8532  6 O 2.10-2.17
Rh 0.7797 0.2203 0.3532  6 O 2.10-2.17
O 0.0651 0.9349 0.8798  2 Sc 2.01, 1 Rh 2.10
O 0.2794 0.7206 0.4734  2 Rh 2.16, 1 Sr 2.39
O 0.3024 0.6976 0.2367  2 Rh 2.16, 1 Sc 2.18
O 0.3806 0.6194 0.8270  1 Rh 2.17, 1 Sc 2.19
O 0.4962 0.5038 0.1135  1 Sc 1.96
O 0.5038 0.4962 0.6135  1 Sc 1.96
O 0.6194 0.3806 0.3270  1 Rh 2.17, 1 Sc 2.19
O 0.6976 0.3024 0.7367  2 Rh 2.16, 1 Sc 2.18
O 0.7206 0.2794 0.9734  2 Rh 2.16, 1 Sr 2.39
O 0.9349 0.0651 0.3798  2 Sc 2.01, 1 Rh 2.10